No. 1
The following is a PBE-GGA calculation of an optimized crystal structure of K3TbSb2S6, from the Alexandria database.

Cell lengths 7.073, 7.073, 7.729 Å; angles 98.77, 98.77, 120.00 degrees
Fractional positions:
K  0.000  0.000  0.000
K  0.331  0.669  0.000
K  0.669  0.331  0.000
Tb  0.500  0.500  0.500
Sb  0.166  0.834  0.500
Sb  0.834  0.166  0.500
S  0.101  0.432  0.297
S  0.236  0.236  0.704
S  0.432  0.101  0.297
S  0.568  0.899  0.703
S  0.764  0.764  0.296
S  0.899  0.568  0.703

Computed properties:
Formation energy (no corrections), eV/atom: -1.093
DFT total energy, eV/atom: -4.50
V, Å³/cell: 319
D(E_F), states/eV/atom: 0.0000
Spin magnetization, μB per formula unit: 0.0


No. 2
The following is a PBE-GGA calculation of an optimized crystal structure of K4Tb3SbS8, from the Alexandria database.

Cell lengths 8.737, 8.737, 8.737 Å; angles 55.67, 55.67, 55.67 degrees
Fractional positions:
K  0.000  0.000  0.000
K  0.000  0.500  0.500
K  0.500  0.000  0.500
K  0.500  0.500  0.000
Tb  0.000  0.000  0.500
Tb  0.000  0.500  0.000
Tb  0.500  0.000  0.000
Sb  0.500  0.500  0.500
S  0.233  0.735  0.735
S  0.234  0.234  0.234
S  0.265  0.265  0.767
S  0.265  0.767  0.265
S  0.735  0.233  0.735
S  0.735  0.735  0.233
S  0.766  0.766  0.766
S  0.767  0.265  0.265

Computed properties:
Formation energy (no corrections), eV/atom: -1.591
DFT total energy, eV/atom: -5.06
V, Å³/cell: 424
D(E_F), states/eV/atom: 0.0000
Spin magnetization, μB per formula unit: 0.0


No. 3
The following is a PBE-GGA calculation of an optimized crystal structure of K2TbSbS4, from the Alexandria database.

Cell lengths 7.093, 4.071, 7.717 Å; angles 90.00, 107.59, 90.00 degrees
Fractional positions:
K  0.000  0.000  0.000
K  0.500  0.500  0.000
Tb  0.000  0.500  0.500
Sb  0.500  0.000  0.500
S  0.233  0.000  0.702
S  0.263  0.500  0.296
S  0.737  0.500  0.704
S  0.767  0.000  0.298

Computed properties:
Formation energy (no corrections), eV/atom: -1.293
DFT total energy, eV/atom: -4.73
V, Å³/cell: 212
D(E_F), states/eV/atom: 0.0000
Spin magnetization, μB per formula unit: 0.0


No. 4
The following is a PBE-GGA calculation of an optimized crystal structure of KSbTe2S, from the Alexandria database.

Cell lengths 6.049, 6.049, 6.127 Å; angles 90.00, 90.00, 90.00 degrees
Fractional positions:
K  0.000  0.000  0.000
Sb  0.000  0.000  0.500
Te  0.000  0.500  0.000
Te  0.500  0.000  0.000
S  0.500  0.500  0.500

Computed properties:
Formation energy (no corrections), eV/atom: 1.339
DFT total energy, eV/atom: -1.79
V, Å³/cell: 224
D(E_F), states/eV/atom: 1.4995
ΔE to the lowest computed polymorph, eV/atom: 1.322
Spin magnetization, μB per formula unit: 3.2


Please write out number 4 again, unchanged.
The following is a PBE-GGA calculation of an optimized crystal structure of KSbTe2S, from the Alexandria database.

Cell lengths 6.049, 6.049, 6.127 Å; angles 90.00, 90.00, 90.00 degrees
Fractional positions:
K  0.000  0.000  0.000
Sb  0.000  0.000  0.500
Te  0.000  0.500  0.000
Te  0.500  0.000  0.000
S  0.500  0.500  0.500

Computed properties:
Formation energy (no corrections), eV/atom: 1.339
DFT total energy, eV/atom: -1.79
V, Å³/cell: 224
D(E_F), states/eV/atom: 1.4995
ΔE to the lowest computed polymorph, eV/atom: 1.322
Spin magnetization, μB per formula unit: 3.2


Look up the formation energy (no corrections) of the third one. -1.293 eV/atom


Repeat the second record exactly.
The following is a PBE-GGA calculation of an optimized crystal structure of K4Tb3SbS8, from the Alexandria database.

Cell lengths 8.737, 8.737, 8.737 Å; angles 55.67, 55.67, 55.67 degrees
Fractional positions:
K  0.000  0.000  0.000
K  0.000  0.500  0.500
K  0.500  0.000  0.500
K  0.500  0.500  0.000
Tb  0.000  0.000  0.500
Tb  0.000  0.500  0.000
Tb  0.500  0.000  0.000
Sb  0.500  0.500  0.500
S  0.233  0.735  0.735
S  0.234  0.234  0.234
S  0.265  0.265  0.767
S  0.265  0.767  0.265
S  0.735  0.233  0.735
S  0.735  0.735  0.233
S  0.766  0.766  0.766
S  0.767  0.265  0.265

Computed properties:
Formation energy (no corrections), eV/atom: -1.591
DFT total energy, eV/atom: -5.06
V, Å³/cell: 424
D(E_F), states/eV/atom: 0.0000
Spin magnetization, μB per formula unit: 0.0


What is the spin magnetization in the second record? 0.0 μB per formula unit